An optimized crystal structure of Ba3Sr3Au2, computed with PBE.

Computed properties:
SG: R-3 (148)
Uncorrected energy: -2.51 eV per atom
Size of the total moment: 0.00 Bohr magnetons per cell

a = 11.7109 Å, b = 11.7109 Å, c = 11.7109 Å
α = 92.68°, β = 92.68°, γ = 92.68°
Element x y z (fractional)
Ba (0.0503, 0.1654, 0.3731)
Ba (0.0996, 0.5166, 0.6743)
Ba (0.1654, 0.3731, 0.0503)
Ba (0.3257, 0.9004, 0.4834)
Ba (0.3731, 0.0503, 0.1654)
Ba (0.4834, 0.3257, 0.9004)
Ba (0.5166, 0.6743, 0.0996)
Ba (0.6269, 0.9497, 0.8346)
Ba (0.6743, 0.0996, 0.5166)
Ba (0.8346, 0.6269, 0.9497)
Ba (0.9004, 0.4834, 0.3257)
Ba (0.9497, 0.8346, 0.6269)
Sr (0.0348, 0.8022, 0.2587)
Sr (0.1978, 0.7413, 0.9652)
Sr (0.2587, 0.0348, 0.8022)
Sr (0.2809, 0.5592, 0.3602)
Sr (0.3602, 0.2809, 0.5592)
Sr (0.4408, 0.6398, 0.7191)
Sr (0.5592, 0.3602, 0.2809)
Sr (0.6398, 0.7191, 0.4408)
Sr (0.7191, 0.4408, 0.6398)
Sr (0.7413, 0.9652, 0.1978)
Sr (0.8022, 0.2587, 0.0348)
Sr (0.9652, 0.1978, 0.7413)
Au (0.2163, 0.7785, 0.7033)
Au (0.2215, 0.2967, 0.7837)
Au (0.2945, 0.2945, 0.2945)
Au (0.2967, 0.7837, 0.2215)
Au (0.7033, 0.2163, 0.7785)
Au (0.7055, 0.7055, 0.7055)
Au (0.7785, 0.7033, 0.2163)
Au (0.7837, 0.2215, 0.2967)

---

An optimized crystal structure of CoTcSb2, computed with PBE.

Computed properties:
SG: P4/mmm (123)
Offset from the most stable computed form: 113.9 meV/atom
E_form (uncorrected): 0.22 eV/atom
Size of the total moment: 0.59 Bohr magnetons per cell

a = 3.2751 Å, b = 3.2751 Å, c = 6.2988 Å
α = 90.00°, β = 90.00°, γ = 90.00°
Element x y z (fractional)
Co (0.0000, 0.0000, 0.0000)
Tc (0.0000, 0.0000, 0.5000)
Sb (0.5000, 0.5000, 0.2438)
Sb (0.5000, 0.5000, 0.7562)

---

An optimized crystal structure of CoSiI2N, computed with PBE.

Computed properties:
SG: P4/mmm (123)
Offset from the most stable computed form: 0.0 meV/atom
E_form (uncorrected): 0.68 eV/atom
Size of the total moment: 0.00 Bohr magnetons per cell

a = 5.3891 Å, b = 5.3891 Å, c = 3.5192 Å
α = 90.00°, β = 90.00°, γ = 90.00°
Element x y z (fractional)
Co (0.0000, 0.0000, 0.0000)
Si (0.5000, 0.5000, 0.5000)
I (0.0000, 0.5000, 0.0000)
I (0.5000, 0.0000, 0.0000)
N (0.0000, 0.0000, 0.5000)